i:
The following is a GGA-PBE calculation of a geometry-optimized LaICl structure, from the Alexandria database.

Geometry as extended XYZ:
```
3
Lattice="3.7822 0.0017 0.0108 0.0010 3.6589 -0.9649 0.0164 0.1333 7.9261" Properties=species:S:1:pos:R:3 pbc="T T T"
Cl 3.1456 2.0212 2.3815
I 3.1723 1.2597 6.9143
La 1.2597 3.4612 0.4196
```

calculated volume = 110.17 Å³ per cell
total magnetic moment = 0.0000 μB per atom

***

ii:
The following is a GGA-PBE calculation of a geometry-optimized LaICl structure, from the Alexandria database.

Geometry as extended XYZ:
```
3
Lattice="-0.1045 2.4539 3.3811 -3.5047 -0.7433 -2.1515 -1.4149 -6.1759 4.4385" Properties=species:S:1:pos:R:3 pbc="T T T"
I -0.1096 -0.4783 0.3438
Cl -3.1765 -3.1921 2.2185
La -1.7380 -0.7949 3.1058
```

calculated volume = 117.00 Å³ per cell
total magnetic moment = 0.0000 μB per atom

***

The most stable of them is i.